Record 1
LiSbIO2 PBE-GGA optimized geometry; excess energy over the best structure of this formula in the dataset = 0 meV/atom; E = -0.1613 hartree per atom; E_form (uncorrected) = -86 kJ per mole of atoms; total moment = 0.00 μB/cell; density of states at the Fermi level = 0.44 states/eV/cell
1.0
4.061 0.000 0.000
0.000 4.061 0.000
0.000 0.000 6.696
Li Sb I O
1 1 1 2
Cartesian
0.000 0.000 0.000
2.030 2.030 3.348
2.030 2.030 0.000
0.000 2.030 3.348
2.030 0.000 3.348

Record 2
Ho6PaS12 PBE-GGA optimized geometry; E = -0.2356 hartree per atom; E_form (uncorrected) = -179 kJ per mole of atoms; total moment = 0.00 μB/cell; density of states at the Fermi level = 17.27 states/eV/cell
1.0
5.984 3.455 3.741
-5.984 3.455 3.741
0.000 -6.910 3.741
Ho Pa S
6 1 12
Cartesian
-3.070 -2.999 5.933
-4.132 1.159 5.291
1.063 -4.158 5.291
-1.063 4.158 5.933
4.132 -1.159 5.933
3.070 2.999 5.291
0.000 0.000 5.612
-1.472 -5.005 4.932
-5.071 -1.228 6.293
-2.198 -0.460 4.254
-3.599 3.778 4.932
1.498 -1.674 4.254
-0.701 -2.134 6.970
0.700 2.134 4.254
-1.498 1.674 6.970
3.599 -3.778 6.293
2.198 0.460 6.970
5.071 1.228 4.932
1.473 5.005 6.293

Record 3
Fe3H2Rh2 PBE-GGA optimized geometry; E = -0.2453 hartree per atom; total moment = 8.97 μB/cell; density of states at the Fermi level = 6.12 states/eV/cell
1.0
2.712 0.000 0.000
-1.352 4.463 0.000
-1.353 -1.173 5.726
Fe H Rh
3 2 2
Cartesian
0.000 0.000 0.000
-1.354 2.845 3.466
1.362 0.445 2.261
-1.348 3.668 1.733
1.356 -0.378 3.993
0.003 2.418 1.181
0.005 0.872 4.545

Record 4
TaBr2F PBE-GGA optimized geometry; excess energy over the best structure of this formula in the dataset = 699 meV/atom; E = -0.1724 hartree per atom; E_form (uncorrected) = -41 kJ per mole of atoms; total moment = 2.00 μB/cell; density of states at the Fermi level = 0.00 states/eV/cell
1.0
0.000 3.260 3.260
3.260 0.000 3.260
3.260 3.260 0.000
Ta Br F
1 2 1
Cartesian
0.000 0.000 0.000
1.630 1.630 1.630
4.890 4.890 4.890
3.260 3.260 3.260

Record 5
LaMn2Fe PBE-GGA optimized geometry; excess energy over the best structure of this formula in the dataset = 270 meV/atom; E = -0.2741 hartree per atom; total moment = 9.01 μB/cell; energy relative to the elements = 1.90 eV per formula unit; density of states at the Fermi level = 2.57 states/eV/cell
1.0
-2.062 2.062 4.175
2.062 -2.062 4.175
2.062 2.062 -4.175
La Mn Fe
1 2 1
Cartesian
0.000 0.000 0.000
2.062 0.000 2.087
0.000 2.062 2.087
0.000 0.000 4.175

Record 6
LuCdHgIr PBE-GGA optimized geometry; E = -0.1440 hartree per atom; total moment = 0.00 μB/cell; energy relative to the elements = -1.07 eV per formula unit; density of states at the Fermi level = 2.41 states/eV/cell
1.0
0.000 3.425 3.425
3.425 0.000 3.425
3.425 3.425 0.000
Lu Cd Hg Ir
1 1 1 1
Cartesian
0.000 0.000 0.000
3.425 3.425 3.425
5.137 5.137 5.137
1.712 1.712 1.712

Record 7
LaTb2Tm PBE-GGA optimized geometry; excess energy over the best structure of this formula in the dataset = 0 meV/atom; E = -0.1711 hartree per atom; total moment = 0.01 μB/cell; energy relative to the elements = 0.03 eV per formula unit; density of states at the Fermi level = 6.41 states/eV/cell
1.0
1.805 1.042 11.590
-1.805 1.042 11.590
0.000 -2.085 11.590
La Tb Tm
1 2 1
Cartesian
0.000 0.000 0.000
0.000 0.000 14.591
0.000 0.000 20.199
0.000 0.000 29.000

Record 8
CdSbRh2 PBE-GGA optimized geometry; E = -0.1793 hartree per atom; E_form (uncorrected) = 5 kJ per mole of atoms; total moment = 0.00 μB/cell; density of states at the Fermi level = 4.93 states/eV/cell
1.0
-3.601 3.601 2.968
3.601 -3.601 2.968
3.601 3.601 -2.968
Cd Sb Rh
2 2 4
Cartesian
0.000 0.000 0.000
0.000 3.601 1.484
3.601 0.000 1.484
0.000 0.000 2.968
1.800 1.992 -0.742
5.210 1.800 0.742
1.800 1.609 2.226
-1.609 1.800 3.710